Record 1
# KCrS2N

A relaxed KCrS2N crystal (PBE, the Alexandria database).

Cell: 5.5292 5.5292 4.7683 Å, 90.00 90.00 90.00°
Last column: magnetic moment on the atom in μB.
Positions (direct):
S1 0.5000 0.0000 0.0000  0.64
S2 0.0000 0.5000 0.0000  0.64
K1 0.0000 0.0000 0.0000  0.09
Cr1 0.5000 0.5000 0.5000  -4.17
N1 0.0000 0.0000 0.5000  1.75

Computed properties:
Crystal system: tetragonal
DOS(E_F): 0.677 states/eV/atom
Relative energy among the computed polymorphs: 1913.6 meV/atom

---

Record 2
# MgHg2O

A relaxed MgHg2O crystal (PBE, the Alexandria database).

Cell: 4.7199 4.7199 4.7199 Å, 60.00 60.00 60.00°
Positions (direct):
Mg1 0.5000 0.5000 0.5000
Hg1 0.2500 0.2500 0.2500
Hg2 0.7500 0.7500 0.7500
O1 0.0000 0.0000 0.0000

Computed properties:
Crystal system: cubic
DOS(E_F): 0.254 states/eV/atom
Relative energy among the computed polymorphs: 801.7 meV/atom

---

Record 3
# InRhCl2

A relaxed InRhCl2 crystal (PBE, the Alexandria database).

Cell: 4.0430 5.5724 5.5730 Å, 48.64 90.00 90.00°
Positions (direct):
Cl1 0.0000 0.9241 0.9241
Cl2 0.5000 0.2739 0.2740
In1 0.0000 0.5713 0.5711
Rh1 0.5000 0.7307 0.7308

Computed properties:
Crystal system: orthorhombic
DOS(E_F): 0.272 states/eV/atom
Relative energy among the computed polymorphs: 0.0 meV/atom

---

Computed formation energy from raw total energies, in the same sequence as the records: 8.9, 0.3, -1.8 eV/f.u..
Computed uncorrected energy, in the same sequence as the records: -18.4, -6.8, -15.6 eV/f.u..